[1]
# MgTiPS2

A relaxed MgTiPS2 crystal (GGA-PBE, Alexandria via LeMat-Bulk).

abc: 4.783 4.577 4.783
angles: 90.00 90.00 90.00
Fractional coordinates of all 5 atoms:
P: 0.000 0.000 0.000
S: 0.000 0.000 0.500
S: 0.500 0.000 0.000
Mg: 0.000 0.500 0.000
Ti: 0.500 0.500 0.500

Symmetry: P4/mmm (123)
E_tot: -4.159 eV per atom
Energy relative to the elements, uncorrected: 45.5 kJ/mol of atoms
Magnetic moment: 0.790 Bohr magnetons per cell

=====

[2]
# MgTiPS2

A relaxed MgTiPS2 crystal (GGA-PBE, Alexandria via LeMat-Bulk).

abc: 4.685 4.685 4.770
angles: 90.00 90.00 90.00
Fractional coordinates of all 5 atoms:
S: 0.000 0.500 0.000
S: 0.500 0.000 0.000
P: 0.000 0.000 0.500
Mg: 0.500 0.500 0.500
Ti: 0.000 0.000 0.000

Symmetry: P4/mmm (123)
E_tot: -5.025 eV per atom
Energy relative to the elements, uncorrected: -38.0 kJ/mol of atoms
Magnetic moment: 0.000 Bohr magnetons per cell

=====

[3]
# MgTiPS2

A relaxed MgTiPS2 crystal (GGA-PBE, Alexandria via LeMat-Bulk).

abc: 4.636 4.636 4.761
angles: 90.00 90.00 90.00
Fractional coordinates of all 5 atoms:
Ti: 0.500 0.500 0.500
S: 0.500 0.000 0.000
S: 0.000 0.500 0.000
P: 0.000 0.000 0.500
Mg: 0.000 0.000 0.000

Symmetry: P4/mmm (123)
E_tot: -4.228 eV per atom
Energy relative to the elements, uncorrected: 38.8 kJ/mol of atoms
Magnetic moment: 0.002 Bohr magnetons per cell

=====

[4]
# MgTiP2S

A relaxed MgTiP2S crystal (GGA-PBE, Alexandria via LeMat-Bulk).

abc: 4.704 4.704 4.693
angles: 90.00 90.00 90.00
Fractional coordinates of all 5 atoms:
Mg: 0.000 0.000 0.000
S: 0.000 0.000 0.500
P: 0.000 0.500 0.000
P: 0.500 0.000 0.000
Ti: 0.500 0.500 0.500

Symmetry: P4/mmm (123)
E_tot: -4.238 eV per atom
Energy relative to the elements, uncorrected: 62.7 kJ/mol of atoms
Magnetic moment: 1.245 Bohr magnetons per cell

=====

[5]
# MgTlPS2

A relaxed MgTlPS2 crystal (GGA-PBE, Alexandria via LeMat-Bulk).

abc: 5.162 5.162 5.045
angles: 90.00 90.00 90.00
Fractional coordinates of all 5 atoms:
Mg: 0.500 0.500 0.500
S: 0.000 0.500 0.000
S: 0.500 0.000 0.000
Tl: 0.000 0.000 0.000
P: 0.000 0.000 0.500

Symmetry: P4/mmm (123)
E_tot: -2.783 eV per atom
Energy relative to the elements, uncorrected: 71.6 kJ/mol of atoms
Magnetic moment: 1.065 Bohr magnetons per cell

=====

[6]
# MgTlPS2

A relaxed MgTlPS2 crystal (GGA-PBE, Alexandria via LeMat-Bulk).

abc: 4.903 4.903 5.072
angles: 90.00 90.00 90.00
Fractional coordinates of all 5 atoms:
Tl: 0.500 0.500 0.500
P: 0.000 0.000 0.500
S: 0.000 0.500 0.000
S: 0.500 0.000 0.000
Mg: 0.000 0.000 0.000

Symmetry: P4/mmm (123)
E_tot: -3.264 eV per atom
Energy relative to the elements, uncorrected: 25.2 kJ/mol of atoms
Magnetic moment: 1.524 Bohr magnetons per cell